No. 1
## MnCoHg (PBE)

Data for an optimized crystal structure of MnCoHg.

Cell lengths 2.9477, 3.8965, 8.8840 Å; angles 90.00, 90.00, 90.00 degrees
Closest atoms and distances in Å follow each position.
Sites, in units of the cell vectors:
1 Mn 0.0000 0.0000 0.0000  4 Co 2.47, 2 Mn 2.63
2 Mn 0.5000 0.0000 0.2451  6 Co 2.45-2.64, 2 Mn 2.63
3 Co 0.0000 0.5000 0.2606  2 Co 2.42, 4 Mn 2.45
4 Co 0.5000 0.5000 0.0441  2 Co 2.42, 6 Mn 2.47-2.64
5 Hg 0.0000 0.0000 0.5127  2 Mn 2.80, 4 Hg 2.95-2.99, 2 Co 2.97
6 Hg 0.0000 0.5000 0.7680  2 Mn 2.84, 2 Co 2.86, 4 Hg 2.95-2.99

Summary:
Its space group is No. 25. The formation enthalpy at 0 K comes out at 304 meV/atom.

***

No. 2
## MnCo2Hg (PBE)

Data for an optimized crystal structure of MnCo2Hg.

Cell lengths 2.8444, 2.8444, 25.2458 Å; angles 90.00, 90.00, 120.00 degrees
Closest atoms and distances in Å follow each position.
Sites, in units of the cell vectors:
1 Mn 0.0000 0.0000 0.0000  3 Co 2.51
2 Mn 0.3333 0.6667 0.6667  3 Co 2.51
3 Mn 0.6667 0.3333 0.3333  3 Co 2.51
4 Co 0.0000 0.0000 0.2580  3 Co 2.41, 3 Mn 2.51
5 Co 0.0000 0.0000 0.5217  3 Co 2.41
6 Co 0.3333 0.6667 0.1883  3 Co 2.41
7 Co 0.3333 0.6667 0.9247  3 Co 2.41, 3 Mn 2.51
8 Co 0.6667 0.3333 0.5914  3 Co 2.41, 3 Mn 2.51
9 Co 0.6667 0.3333 0.8550  3 Co 2.41
10 Hg 0.0000 0.0000 0.7628  6 Hg 2.84, 3 Co 2.85, 3 Mn 2.93
11 Hg 0.3333 0.6667 0.4295  6 Hg 2.84, 3 Co 2.85, 3 Mn 2.93
12 Hg 0.6667 0.3333 0.0962  6 Hg 2.84, 3 Co 2.85, 3 Mn 2.93

Summary:
Its space group is No. 160. The formation enthalpy at 0 K comes out at 414 meV/atom.

***

No. 3
## MnCoHg4 (PBE)

Data for an optimized crystal structure of MnCoHg4.

Cell lengths 5.6589, 5.6589, 5.6589 Å; angles 60.00, 60.00, 60.00 degrees
Closest atoms and distances in Å follow each position.
Sites, in units of the cell vectors:
1 Mn 0.0000 0.0000 0.0000  12 Hg 3.32, 4 Co 3.47
2 Co 0.7500 0.7500 0.7500  12 Hg 3.32, 4 Mn 3.47
3 Hg 0.3751 0.3751 0.3751  6 Hg 2.83
4 Hg 0.3751 0.3751 0.8746  6 Hg 2.83
5 Hg 0.3751 0.8746 0.3751  6 Hg 2.83
6 Hg 0.8746 0.3751 0.3751  6 Hg 2.83

Summary:
Its space group is No. 216. The formation enthalpy at 0 K comes out at 768 meV/atom.

***

No. 4
## MnCo2Hg (PBE)

Data for an optimized crystal structure of MnCo2Hg.

Cell lengths 3.1058, 4.4031, 8.3860 Å; angles 90.00, 90.00, 90.00 degrees
Closest atoms and distances in Å follow each position.
Sites, in units of the cell vectors:
1 Mn 0.0000 0.0000 0.0000  4 Co 2.43, 4 Mn 2.69
2 Mn 0.5000 0.5000 0.0000  4 Co 2.43, 4 Mn 2.69
3 Co 0.0000 0.5000 0.2222  2 Mn 2.43, 4 Co 2.69
4 Co 0.0000 0.5000 0.7778  2 Mn 2.43, 4 Co 2.69
5 Co 0.5000 0.0000 0.2222  2 Mn 2.43, 4 Co 2.69
6 Co 0.5000 0.0000 0.7778  2 Mn 2.43, 4 Co 2.69
7 Hg 0.0000 0.0000 0.5000  4 Hg 2.69, 4 Co 2.80
8 Hg 0.5000 0.5000 0.5000  4 Hg 2.69, 4 Co 2.80

Summary:
Its space group is No. 65. The formation enthalpy at 0 K comes out at 431 meV/atom.

***

No. 5
## MnCoHg2 (PBE)

Data for an optimized crystal structure of MnCoHg2.

Cell lengths 4.1380, 4.1380, 7.8880 Å; angles 90.00, 90.00, 90.00 degrees
Closest atoms and distances in Å follow each position.
Sites, in units of the cell vectors:
1 Mn 0.0000 0.0000 0.0000  8 Hg 2.86, 4 Co 2.93
2 Mn 0.5000 0.5000 0.5000  8 Hg 2.86, 4 Co 2.93
3 Co 0.0000 0.0000 0.5000  8 Hg 2.86, 4 Mn 2.93
4 Co 0.5000 0.5000 0.0000  8 Hg 2.86, 4 Mn 2.93
5 Hg 0.0000 0.5000 0.2500  4 Mn 2.86, 4 Co 2.86, 4 Hg 2.93
6 Hg 0.0000 0.5000 0.7500  4 Mn 2.86, 4 Co 2.86, 4 Hg 2.93
7 Hg 0.5000 0.0000 0.2500  4 Mn 2.86, 4 Co 2.86, 4 Hg 2.93
8 Hg 0.5000 0.0000 0.7500  4 Mn 2.86, 4 Co 2.86, 4 Hg 2.93

Summary:
Its space group is No. 139. The formation enthalpy at 0 K comes out at 385 meV/atom.

***

No. 6
## MnCo2Hg (PBE)

Data for an optimized crystal structure of MnCo2Hg.

Cell lengths 6.1063, 6.1063, 6.1063 Å; angles 90.00, 90.00, 90.00 degrees
Closest atoms and distances in Å follow each position.
Sites, in units of the cell vectors:
1 Mn 0.0000 0.0000 0.0000  4 Hg 2.64, 4 Co 2.64
2 Mn 0.0000 0.5000 0.5000  4 Hg 2.64, 4 Co 2.64
3 Mn 0.5000 0.0000 0.5000  4 Hg 2.64, 4 Co 2.64
4 Mn 0.5000 0.5000 0.0000  4 Hg 2.64, 4 Co 2.64
5 Co 0.0000 0.0000 0.5000  4 Co 2.64, 4 Hg 2.64
6 Co 0.0000 0.5000 0.0000  4 Co 2.64, 4 Hg 2.64
7 Co 0.2500 0.2500 0.7500  4 Mn 2.64, 4 Co 2.64
8 Co 0.2500 0.7500 0.2500  4 Mn 2.64, 4 Co 2.64
9 Co 0.5000 0.0000 0.0000  4 Co 2.64, 4 Hg 2.64
10 Co 0.5000 0.5000 0.5000  4 Co 2.64, 4 Hg 2.64
11 Co 0.7500 0.2500 0.2500  4 Mn 2.64, 4 Co 2.64
12 Co 0.7500 0.7500 0.7500  4 Mn 2.64, 4 Co 2.64
13 Hg 0.2500 0.2500 0.2500  4 Mn 2.64, 4 Co 2.64
14 Hg 0.2500 0.7500 0.7500  4 Mn 2.64, 4 Co 2.64
15 Hg 0.7500 0.2500 0.7500  4 Mn 2.64, 4 Co 2.64
16 Hg 0.7500 0.7500 0.2500  4 Mn 2.64, 4 Co 2.64

Summary:
Its space group is No. 216. The formation enthalpy at 0 K comes out at 383 meV/atom.

***

No. 7
## Mn4CoHg (PBE)

Data for an optimized crystal structure of Mn4CoHg.

Cell lengths 4.7874, 4.7874, 4.7874 Å; angles 60.00, 60.00, 60.00 degrees
Closest atoms and distances in Å follow each position.
Sites, in units of the cell vectors:
1 Mn 0.1249 0.1249 0.1249  6 Mn 2.39-2.40
2 Mn 0.1249 0.1249 0.6254  6 Mn 2.39-2.40
3 Mn 0.1249 0.6254 0.1249  6 Mn 2.39-2.40
4 Mn 0.6254 0.1249 0.1249  6 Mn 2.39-2.40
5 Co 0.7500 0.7500 0.7500  12 Mn 2.81, 4 Hg 2.93
6 Hg 0.5000 0.5000 0.5000  12 Mn 2.81, 4 Co 2.93

Summary:
Its space group is No. 216. The formation enthalpy at 0 K comes out at 453 meV/atom.

***

No. 8
## MnCoHg2 (PBE)

Data for an optimized crystal structure of MnCoHg2.

Cell lengths 7.3423, 7.3423, 5.6121 Å; angles 90.00, 90.00, 90.00 degrees
Closest atoms and distances in Å follow each position.
Sites, in units of the cell vectors:
1 Mn 0.0000 0.0000 0.0000  4 Hg 2.78, 2 Co 2.81
2 Mn 0.0000 0.5000 0.2500  4 Hg 2.78, 2 Co 2.81
3 Mn 0.5000 0.0000 0.7500  4 Hg 2.78, 2 Co 2.81
4 Mn 0.5000 0.5000 0.5000  4 Hg 2.78, 2 Co 2.81
5 Co 0.0000 0.0000 0.5000  4 Hg 2.60, 2 Mn 2.81
6 Co 0.0000 0.5000 0.7500  4 Hg 2.60, 2 Mn 2.81
7 Co 0.5000 0.0000 0.2500  4 Hg 2.60, 2 Mn 2.81
8 Co 0.5000 0.5000 0.0000  4 Hg 2.60, 2 Mn 2.81
9 Hg 0.2321 0.2500 0.6250  2 Co 2.60, 2 Mn 2.78, 2 Hg 2.82
10 Hg 0.2500 0.7321 0.8750  2 Co 2.60, 2 Mn 2.78, 2 Hg 2.82
11 Hg 0.2500 0.7679 0.3750  2 Co 2.60, 2 Mn 2.78, 2 Hg 2.82
12 Hg 0.2679 0.2500 0.1250  2 Co 2.60, 2 Mn 2.78, 2 Hg 2.82
13 Hg 0.7321 0.7500 0.1250  2 Co 2.60, 2 Mn 2.78, 2 Hg 2.82
14 Hg 0.7500 0.2321 0.3750  2 Co 2.60, 2 Mn 2.78, 2 Hg 2.82
15 Hg 0.7500 0.2679 0.8750  2 Co 2.60, 2 Mn 2.78, 2 Hg 2.82
16 Hg 0.7679 0.7500 0.6250  2 Co 2.60, 2 Mn 2.78, 2 Hg 2.82

Summary:
Its space group is No. 122. The formation enthalpy at 0 K comes out at 647 meV/atom.

***

No. 9
## MnCo2Hg (PBE)

Data for an optimized crystal structure of MnCo2Hg.

Cell lengths 8.5890, 2.8427, 4.7634 Å; angles 90.00, 102.24, 90.00 degrees
Closest atoms and distances in Å follow each position.
Sites, in units of the cell vectors:
1 Mn 0.0000 0.0000 0.0000  6 Co 2.53-2.62, 4 Hg 2.77
2 Mn 0.5000 0.5000 0.0000  6 Co 2.53-2.62, 4 Hg 2.77
3 Co 0.2406 0.5000 0.2086  2 Co 2.48, 3 Mn 2.53-2.62, 3 Hg 2.72-2.76
4 Co 0.2594 0.0000 0.7914  2 Co 2.48, 3 Mn 2.53-2.62, 3 Hg 2.72-2.76
5 Co 0.7406 0.0000 0.2086  2 Co 2.48, 3 Mn 2.53-2.62, 3 Hg 2.72-2.76
6 Co 0.7594 0.5000 0.7914  2 Co 2.48, 3 Mn 2.53-2.62, 3 Hg 2.72-2.76
7 Hg 0.0000 0.5000 0.5000  6 Co 2.72-2.76, 4 Mn 2.77, 2 Hg 2.84
8 Hg 0.5000 0.0000 0.5000  6 Co 2.72-2.76, 4 Mn 2.77, 2 Hg 2.84

Summary:
Its space group is No. 12. The formation enthalpy at 0 K comes out at 362 meV/atom.

***

No. 10
## MnCoHg2 (PBE)

Data for an optimized crystal structure of MnCoHg2.

Cell lengths 6.5052, 6.5052, 6.5052 Å; angles 90.00, 90.00, 90.00 degrees
Closest atoms and distances in Å follow each position.
Sites, in units of the cell vectors:
1 Mn 0.0000 0.0000 0.0000  4 Co 2.82, 4 Hg 2.82
2 Mn 0.0000 0.5000 0.5000  4 Hg 2.82, 4 Co 2.82
3 Mn 0.5000 0.0000 0.5000  4 Hg 2.82, 4 Co 2.82
4 Mn 0.5000 0.5000 0.0000  4 Co 2.82, 4 Hg 2.82
5 Co 0.2500 0.2500 0.7500  4 Hg 2.82, 4 Mn 2.82
6 Co 0.2500 0.7500 0.2500  4 Hg 2.82, 4 Mn 2.82
7 Co 0.7500 0.2500 0.2500  4 Hg 2.82, 4 Mn 2.82
8 Co 0.7500 0.7500 0.7500  4 Hg 2.82, 4 Mn 2.82
9 Hg 0.0000 0.0000 0.5000  4 Hg 2.82, 4 Co 2.82
10 Hg 0.0000 0.5000 0.0000  4 Hg 2.82, 4 Co 2.82
11 Hg 0.2500 0.2500 0.2500  4 Hg 2.82, 4 Mn 2.82
12 Hg 0.2500 0.7500 0.7500  4 Hg 2.82, 4 Mn 2.82
13 Hg 0.5000 0.0000 0.0000  4 Hg 2.82, 4 Co 2.82
14 Hg 0.5000 0.5000 0.5000  4 Hg 2.82, 4 Co 2.82
15 Hg 0.7500 0.2500 0.7500  4 Hg 2.82, 4 Mn 2.82
16 Hg 0.7500 0.7500 0.2500  4 Hg 2.82, 4 Mn 2.82

Summary:
Its space group is No. 216. The formation enthalpy at 0 K comes out at 479 meV/atom.

***

No. 11
## MnCo2Hg (PBE)

Data for an optimized crystal structure of MnCo2Hg.

Cell lengths 2.9265, 2.9265, 6.3119 Å; angles 90.00, 90.00, 90.00 degrees
Closest atoms and distances in Å follow each position.
Sites, in units of the cell vectors:
1 Mn 0.0000 0.0000 0.0000  8 Co 2.44
2 Co 0.5000 0.5000 0.2043  4 Mn 2.44, 1 Co 2.58
3 Co 0.5000 0.5000 0.7957  4 Mn 2.44, 1 Co 2.58
4 Hg 0.0000 0.0000 0.5000  8 Co 2.79, 4 Hg 2.93

Summary:
Its space group is No. 123. The formation enthalpy at 0 K comes out at 262 meV/atom.

***

No. 12
## MnCoHg (PBE)

Data for an optimized crystal structure of MnCoHg.

Cell lengths 4.4063, 3.1607, 13.0901 Å; angles 90.00, 90.00, 90.00 degrees
Closest atoms and distances in Å follow each position.
Sites, in units of the cell vectors:
1 Mn 0.0000 0.0000 0.0000  6 Co 2.45-2.72
2 Mn 0.0000 0.5000 0.5000  6 Co 2.45-2.72
3 Mn 0.5000 0.0000 0.1565  2 Co 2.43, 4 Hg 2.72
4 Mn 0.5000 0.5000 0.6565  2 Co 2.43, 4 Hg 2.72
5 Co 0.0000 0.0000 0.3570  2 Mn 2.45, 4 Hg 2.71
6 Co 0.0000 0.5000 0.8570  2 Mn 2.45, 4 Hg 2.71
7 Co 0.5000 0.0000 0.5152  6 Mn 2.43-2.72, 2 Hg 2.72
8 Co 0.5000 0.5000 0.0152  6 Mn 2.43-2.72, 2 Hg 2.72
9 Hg 0.0000 0.0000 0.6750  6 Mn 2.72-2.78, 4 Co 2.86-3.04
10 Hg 0.0000 0.5000 0.1750  6 Mn 2.72-2.78, 4 Co 2.86-3.04
11 Hg 0.5000 0.0000 0.8465  6 Co 2.71-2.72, 4 Mn 2.95-2.98
12 Hg 0.5000 0.5000 0.3465  6 Co 2.71-2.72, 4 Mn 2.95-2.98

Summary:
Its space group is No. 38. The formation enthalpy at 0 K comes out at 311 meV/atom.

***

No. 13
## MnCoHg (PBE)

Data for an optimized crystal structure of MnCoHg.

Cell lengths 4.3289, 4.3289, 2.8050 Å; angles 90.00, 90.00, 120.00 degrees
Closest atoms and distances in Å follow each position.
Sites, in units of the cell vectors:
1 Mn 0.0000 0.0000 0.0000  3 Co 2.55, 3 Hg 2.75, 2 Mn 2.81
2 Co 0.6667 0.3333 0.1841  3 Mn 2.55, 3 Hg 2.75, 2 Co 2.81
3 Hg 0.3333 0.6667 0.5888  6 Co 2.75-3.01, 6 Mn 2.75-3.00, 2 Hg 2.81

Summary:
Its space group is No. 156. The formation enthalpy at 0 K comes out at 406 meV/atom.

***

No. 14
## MnCo4Hg (PBE)

Data for an optimized crystal structure of MnCo4Hg.

Cell lengths 4.8195, 4.8195, 4.8195 Å; angles 60.00, 60.00, 60.00 degrees
Closest atoms and distances in Å follow each position.
Sites, in units of the cell vectors:
1 Mn 0.0000 0.0000 0.0000  12 Co 2.82, 4 Hg 2.95
2 Co 0.1234 0.6255 0.6255  6 Co 2.40-2.42
3 Co 0.6255 0.1234 0.6255  6 Co 2.40-2.42
4 Co 0.6255 0.6255 0.1234  6 Co 2.40-2.42
5 Co 0.6255 0.6255 0.6255  6 Co 2.40-2.42
6 Hg 0.2500 0.2500 0.2500  12 Co 2.83, 4 Mn 2.95

Summary:
Its space group is No. 216. The formation enthalpy at 0 K comes out at 212 meV/atom.